Density functional theory data (PBE-GGA) for TlAg2F3 after structural relaxation.

E above lowest polymorph, eV per atom: 0.0000
ρ, g/cm3: 6.76
Magnetic moment, μB per formula unit: 0.0
Space group: Cmc2_1, No. 36

Cell: 6.2787 6.2787 6.5002 Å, 90.00 90.00 66.07°
Atoms (fractional coordinates):
Tl: 0.2389 0.7611 0.5000
Tl: 0.7611 0.2389 0.0000
Ag: 0.0270 0.6868 0.1021
Ag: 0.3132 0.9730 0.1021
Ag: 0.6868 0.0270 0.6021
Ag: 0.9730 0.3132 0.6021
F: 0.0321 0.3295 0.2422
F: 0.3295 0.0321 0.7422
F: 0.4411 0.5589 0.1208
F: 0.5589 0.4411 0.6208
F: 0.6705 0.9679 0.2422
F: 0.9679 0.6705 0.7422